1.
ReAs4Br, optimized geometry, DFT GGA-PBE; calculated total energy = -4.355 eV per atom; density = 7.21 g/cm3; formation energy from raw total energies = 636 kJ/mol of formula units; total magnetization = 4.3 μB per formula unit; space-group type = F-43m, No. 216
1.0
0.0000 4.0243 4.0243
4.0243 0.0000 4.0243
4.0243 4.0243 0.0000
Re As Br
1 4 1
direct
0.0000 0.0000 0.0000 Re
0.1578 0.6141 0.6141 As
0.6141 0.1578 0.6141 As
0.6141 0.6141 0.1578 As
0.6141 0.6141 0.6141 As
0.2500 0.2500 0.2500 Br

2.
ReAsBr2, optimized geometry, DFT GGA-PBE; calculated total energy = -3.728 eV per atom; density = 9.18 g/cm3; formation energy from raw total energies = 534 kJ/mol of formula units; total magnetization = 0.0 μB per formula unit; space-group type = Cmmm, No. 65
1.0
6.4279 0.0000 0.0000
0.0000 7.7082 0.0000
0.0000 0.0000 3.0721
Re As Br
2 2 4
direct
0.0000 0.0000 0.0000 Re
0.5000 0.5000 0.0000 Re
0.0000 0.5000 0.0000 As
0.5000 0.0000 0.0000 As
0.2500 0.2500 0.5000 Br
0.2500 0.7500 0.5000 Br
0.7500 0.2500 0.5000 Br
0.7500 0.7500 0.5000 Br

3.
Re2AsBr, optimized geometry, DFT GGA-PBE; calculated total energy = -6.443 eV per atom; density = 10.14 g/cm3; formation energy from raw total energies = 525 kJ/mol of formula units; total magnetization = 0.0 μB per formula unit; space-group type = I-42d, No. 122
1.0
5.6804 0.0000 0.0000
0.0000 5.6804 0.0000
0.0000 0.0000 10.7006
Re As Br
8 4 4
direct
0.2496 0.2500 0.1250 Re
0.2504 0.2500 0.6250 Re
0.2500 0.7496 0.3750 Re
0.2500 0.7504 0.8750 Re
0.7500 0.2504 0.3750 Re
0.7500 0.2496 0.8750 Re
0.7504 0.7500 0.1250 Re
0.7496 0.7500 0.6250 Re
0.0000 0.0000 0.0000 As
0.0000 0.5000 0.2500 As
0.5000 0.0000 0.7500 As
0.5000 0.5000 0.5000 As
0.0000 0.0000 0.5000 Br
0.0000 0.5000 0.7500 Br
0.5000 0.0000 0.2500 Br
0.5000 0.5000 0.0000 Br

4.
Re2AsBr, optimized geometry, DFT GGA-PBE; calculated total energy = -6.573 eV per atom; density = 13.26 g/cm3; formation energy from raw total energies = 475 kJ/mol of formula units; total magnetization = 0.0 μB per formula unit; space-group type = I-4m2, No. 119
1.0
4.1686 0.0000 0.0000
0.0000 4.1686 0.0000
0.0000 0.0000 7.5990
Re As Br
4 2 2
direct
0.0000 0.0000 0.0000 Re
0.0000 0.5000 0.2500 Re
0.5000 0.0000 0.7500 Re
0.5000 0.5000 0.5000 Re
0.0000 0.5000 0.7500 As
0.5000 0.0000 0.2500 As
0.0000 0.0000 0.5000 Br
0.5000 0.5000 0.0000 Br